(1)
# NaGe2Cl6 | Alexandria via LeMat-Bulk | GGA-PBE | optimized geometry
data_NaGe2Cl6
_chemical_formula_sum 'Na4 Ge8 Cl24'
_symmetry_space_group_name_H-M 'C 1 2/c 1'
_symmetry_Int_Tables_number 15
_cell_length_a 12.935
_cell_length_b 11.431
_cell_length_c 9.395
_cell_angle_alpha 90.00
_cell_angle_beta 116.75
_cell_angle_gamma 90.00
loop_
_symmetry_equiv_pos_as_xyz
'x,y,z'
'-x,-y,-z'
'-x,y,-z+1/2'
'x,-y,z+1/2'
'x+1/2,y+1/2,z'
'-x+1/2,-y+1/2,-z'
'-x+1/2,y+1/2,-z+1/2'
'x+1/2,-y+1/2,z+1/2'
loop_
_atom_site_label
_atom_site_fract_x
_atom_site_fract_y
_atom_site_fract_z
Na1 0.000 0.084 0.250
Ge1 0.184 0.435 0.231
Cl1 0.117 0.082 0.643
Cl2 0.144 0.240 0.189
Cl3 0.151 0.492 0.465
# crystal system: monoclinic
# total energy: -3.371 eV per atom
# spin magnetization: 0.0 μB/f.u.
# raw formation energy: -8.7 eV per formula unit



(2)
# Ba2ScMo | Alexandria via LeMat-Bulk | GGA-PBE | optimized geometry
data_Ba2ScMo
_chemical_formula_sum 'Ba4 Sc2 Mo2'
_symmetry_space_group_name_H-M 'I m m m'
_symmetry_Int_Tables_number 71
_symmetry_space_group_name_Hall '-I 2 2'
_cell_length_a 3.471
_cell_length_b 4.449
_cell_length_c 18.967
_cell_angle_alpha 90.00
_cell_angle_beta 90.00
_cell_angle_gamma 90.00
loop_
_atom_site_label
_atom_site_fract_x
_atom_site_fract_y
_atom_site_fract_z
Ba1 0.000 0.000 0.153
Sc1 0.000 0.500 0.000
Mo1 0.000 0.500 0.500
# crystal system: orthorhombic
# total energy: -4.611 eV per atom
# spin magnetization: 0.0 μB/f.u.



(3)
# BeSi2 | Alexandria via LeMat-Bulk | GGA-PBE | optimized geometry
data_BeSi2
_chemical_formula_sum 'Be1 Si2'
_symmetry_space_group_name_H-M 'P -3 m 1'
_symmetry_Int_Tables_number 164
_symmetry_space_group_name_Hall '-P 3 2"'
_cell_length_a 2.6558
_cell_length_b 2.6558
_cell_length_c 6.0497
_cell_angle_alpha 90.00
_cell_angle_beta 90.00
_cell_angle_gamma 120.00
loop_
_atom_site_label
_atom_site_fract_x
_atom_site_fract_y
_atom_site_fract_z
Be1 0.0000 0.0000 0.0000
Si1 0.3333 0.6667 0.3147
# crystal system: trigonal
# total energy: -4.410 eV per atom
# spin magnetization: 0.0 μB/f.u.
# raw formation energy: 1.3 eV per formula unit



(4)
# La4NdDy3S8 | Alexandria via LeMat-Bulk | GGA-PBE | optimized geometry
data_La4NdDy3S8
_chemical_formula_sum 'La12 Nd3 Dy9 S24'
_symmetry_space_group_name_H-M 'R -3 m'
_symmetry_Int_Tables_number 166
_symmetry_space_group_name_Hall '-R 3 2"'
_cell_length_a 8.0732
_cell_length_b 8.0732
_cell_length_c 20.0049
_cell_angle_alpha 90.00
_cell_angle_beta 90.00
_cell_angle_gamma 120.00
loop_
_atom_site_label
_atom_site_fract_x
_atom_site_fract_y
_atom_site_fract_z
La1 0.0000 0.0000 0.0000
La2 0.0000 0.5000 0.0000
Nd1 0.0000 0.0000 0.5000
Dy1 0.0000 0.5000 0.5000
S1 0.0000 0.0000 0.2431
S2 0.0074 0.5037 0.7553
# crystal system: trigonal
# total energy: -6.541 eV per atom
# spin magnetization: 0.0 μB/f.u.
# raw formation energy: -33.3 eV per formula unit



(5)
# Sm2Sc5Ni2 | Alexandria via LeMat-Bulk | GGA-PBE | optimized geometry
data_Sm2Sc5Ni2
_chemical_formula_sum 'Sm8 Sc20 Ni8'
_symmetry_space_group_name_H-M 'C m c e'
_symmetry_Int_Tables_number 64
_symmetry_space_group_name_Hall '-C 2ac 2'
_cell_length_a 19.364
_cell_length_b 6.572
_cell_length_c 6.556
_cell_angle_alpha 90.00
_cell_angle_beta 90.00
_cell_angle_gamma 90.00
loop_
_atom_site_label
_atom_site_fract_x
_atom_site_fract_y
_atom_site_fract_z
Sm1 0.229 0.000 0.000
Sc1 0.000 0.000 0.000
Sc2 0.105 0.175 0.328
Ni1 0.000 0.127 0.627
# crystal system: orthorhombic
# total energy: -6.026 eV per atom
# spin magnetization: 0.0 μB/f.u.



(6)
# Re3GeH | Alexandria via LeMat-Bulk | GGA-PBE | optimized geometry
data_Re3GeH
_chemical_formula_sum 'Re3 Ge1 H1'
_symmetry_space_group_name_H-M 'P m -3 m'
_symmetry_Int_Tables_number 221
_symmetry_space_group_name_Hall '-P 4 2 3'
_cell_length_a 3.970
_cell_length_b 3.970
_cell_length_c 3.970
_cell_angle_alpha 90.00
_cell_angle_beta 90.00
_cell_angle_gamma 90.00
loop_
_atom_site_label
_atom_site_fract_x
_atom_site_fract_y
_atom_site_fract_z
Re1 0.000 0.000 0.500
Ge1 0.500 0.500 0.500
H1 0.000 0.000 0.000
# crystal system: cubic
# total energy: -8.509 eV per atom
# spin magnetization: 0.0 μB/f.u.



(7)
# TcCBr3 | Alexandria via LeMat-Bulk | GGA-PBE | optimized geometry
data_TcCBr3
_chemical_formula_sum 'Tc1 C1 Br3'
_symmetry_space_group_name_H-M 'P m -3 m'
_symmetry_Int_Tables_number 221
_symmetry_space_group_name_Hall '-P 4 2 3'
_cell_length_a 4.767
_cell_length_b 4.767
_cell_length_c 4.767
_cell_angle_alpha 90.00
_cell_angle_beta 90.00
_cell_angle_gamma 90.00
loop_
_atom_site_label
_atom_site_fract_x
_atom_site_fract_y
_atom_site_fract_z
Tc1 0.000 0.000 0.000
C1 0.500 0.500 0.500
Br1 0.000 0.500 0.500
# crystal system: cubic
# total energy: -3.377 eV per atom
# spin magnetization: 5.2 μB/f.u.
# raw formation energy: 7.7 eV per formula unit



(8)
# La4GeSbS2 | Alexandria via LeMat-Bulk | GGA-PBE | optimized geometry
data_La4GeSbS2
_chemical_formula_sum 'La4 Ge1 Sb1 S2'
_symmetry_space_group_name_H-M 'P 1 2/m 1'
_symmetry_Int_Tables_number 10
_cell_length_a 7.475
_cell_length_b 4.375
_cell_length_c 7.608
_cell_angle_alpha 90.00
_cell_angle_beta 109.68
_cell_angle_gamma 90.00
loop_
_symmetry_equiv_pos_as_xyz
'x,y,z'
'-x,-y,-z'
'-x,y,-z'
'x,-y,z'
loop_
_atom_site_label
_atom_site_fract_x
_atom_site_fract_y
_atom_site_fract_z
La1 0.238 0.000 0.237
La2 0.244 0.500 0.756
Ge1 0.500 0.000 0.000
Sb1 0.500 0.500 0.500
S1 0.000 0.000 0.500
S2 0.000 0.500 0.000
# crystal system: monoclinic
# total energy: -6.182 eV per atom
# spin magnetization: 0.0 μB/f.u.
# raw formation energy: -12.7 eV per formula unit



Please write out number 3 again, unchanged.
# BeSi2 | Alexandria via LeMat-Bulk | GGA-PBE | optimized geometry
data_BeSi2
_chemical_formula_sum 'Be1 Si2'
_symmetry_space_group_name_H-M 'P -3 m 1'
_symmetry_Int_Tables_number 164
_symmetry_space_group_name_Hall '-P 3 2"'
_cell_length_a 2.6558
_cell_length_b 2.6558
_cell_length_c 6.0497
_cell_angle_alpha 90.00
_cell_angle_beta 90.00
_cell_angle_gamma 120.00
loop_
_atom_site_label
_atom_site_fract_x
_atom_site_fract_y
_atom_site_fract_z
Be1 0.0000 0.0000 0.0000
Si1 0.3333 0.6667 0.3147
# crystal system: trigonal
# total energy: -4.410 eV per atom
# spin magnetization: 0.0 μB/f.u.
# raw formation energy: 1.3 eV per formula unit